--- i ---
DFT (PBE-GGA) results for a relaxed TaCuI3 crystal.

a b c (Å): 5.2995 5.2995 5.2995
angles (deg): 90.00 90.00 90.00
Fractional coordinates of all 5 atoms:
Ta 0.0000 0.0000 0.0000
Cu 0.5000 0.5000 0.5000
I 0.0000 0.5000 0.5000
I 0.5000 0.0000 0.5000
I 0.5000 0.5000 0.0000

Results
Total magnetic moment ... 3.124 μB per formula unit
Space group ... Pm-3m, No. 221

***

--- ii ---
DFT (PBE-GGA) results for a relaxed TaCuI3 crystal.

a b c (Å): 5.5285 5.5285 5.5285
angles (deg): 90.00 90.00 90.00
Fractional coordinates of all 5 atoms:
Ta 0.0000 0.0000 0.0000
Cu 0.5000 0.5000 0.5000
I 0.0000 0.0000 0.5000
I 0.0000 0.5000 0.0000
I 0.5000 0.0000 0.0000

Results
Total magnetic moment ... 0.000 μB per formula unit
Space group ... Pm-3m, No. 221

***

It is i that is the least stable of them.

***

--- i ---
DFT (PBE-GGA) results for a relaxed TaCuTeI2 crystal.

a b c (Å): 5.1908 5.1908 5.2029
angles (deg): 90.00 90.00 90.00
Fractional coordinates of all 5 atoms:
Ta 0.0000 0.0000 0.0000
Cu 0.5000 0.5000 0.5000
Te 0.5000 0.5000 0.0000
I 0.0000 0.5000 0.5000
I 0.5000 0.0000 0.5000

Results
Total magnetic moment ... 2.517 μB per formula unit
Space group ... P4/mmm, No. 123

***

--- ii ---
DFT (PBE-GGA) results for a relaxed TaCuTeI2 crystal.

a b c (Å): 5.5683 5.5683 5.3773
angles (deg): 90.00 90.00 90.00
Fractional coordinates of all 5 atoms:
Ta 0.0000 0.0000 0.0000
Cu 0.5000 0.5000 0.5000
Te 0.0000 0.0000 0.5000
I 0.0000 0.5000 0.0000
I 0.5000 0.0000 0.0000

Results
Total magnetic moment ... 0.000 μB per formula unit
Space group ... P4/mmm, No. 123

***

It is i that is the least stable of them.

***

--- i ---
DFT (PBE-GGA) results for a relaxed CuTcI3 crystal.

a b c (Å): 5.4139 5.4139 5.4139
angles (deg): 90.00 90.00 90.00
Fractional coordinates of all 5 atoms:
Cu 0.0000 0.0000 0.0000
Tc 0.5000 0.5000 0.5000
I 0.0000 0.0000 0.5000
I 0.0000 0.5000 0.0000
I 0.5000 0.0000 0.0000

Results
Total magnetic moment ... 5.068 μB per formula unit
Space group ... Pm-3m, No. 221

***

--- ii ---
DFT (PBE-GGA) results for a relaxed CuTcI3 crystal.

a b c (Å): 5.5109 5.5109 5.5109
angles (deg): 90.00 90.00 90.00
Fractional coordinates of all 5 atoms:
Cu 0.0000 0.0000 0.0000
Tc 0.5000 0.5000 0.5000
I 0.0000 0.5000 0.5000
I 0.5000 0.0000 0.5000
I 0.5000 0.5000 0.0000

Results
Total magnetic moment ... 2.699 μB per formula unit
Space group ... Pm-3m, No. 221

***

It is i that is the least stable of them.

***

--- i ---
DFT (PBE-GGA) results for a relaxed CuTeI3 crystal.

a b c (Å): 3.9530 10.2375 10.2993
angles (deg): 118.98 101.06 90.02
Fractional coordinates of all 10 atoms:
Cu 0.1170 0.3733 0.2335
Cu 0.8830 0.6267 0.7665
Te 0.3102 0.0537 0.6205
Te 0.6898 0.9463 0.3795
I 0.0428 0.8094 0.0855
I 0.3528 0.7649 0.7059
I 0.3679 0.4399 0.7366
I 0.6321 0.5601 0.2634
I 0.6472 0.2351 0.2941
I 0.9572 0.1906 0.9145

Results
Total magnetic moment ... 0.000 μB per formula unit
Space group ... P-1, No. 2

***

--- ii ---
DFT (PBE-GGA) results for a relaxed CuTeI3 crystal.

a b c (Å): 5.3734 5.3734 5.3734
angles (deg): 90.00 90.00 90.00
Fractional coordinates of all 5 atoms:
Cu 0.0000 0.0000 0.0000
Te 0.5000 0.5000 0.5000
I 0.0000 0.0000 0.5000
I 0.0000 0.5000 0.0000
I 0.5000 0.0000 0.0000

Results
Total magnetic moment ... 0.000 μB per formula unit
Space group ... Pm-3m, No. 221

***

It is ii that is the least stable of them.